Compound: LiYHo2
Source: Alexandria via LeMat-Bulk
Functional: PBE
Structure: relaxed

Summary:
* excess energy over the best structure of this formula in the dataset: 48.2 kJ/mol of formula units
* energy of formation: 0.20 eV/atom
* crystal system: cubic
* density of states at the Fermi level: 2.95 states/eV/f.u.

CIF file:
```
data_LiYHo2
_chemical_formula_sum 'Li4 Y4 Ho8'
_symmetry_space_group_name_H-M 'F m -3 m'
_symmetry_Int_Tables_number 225
_symmetry_space_group_name_Hall '-F 4 2 3'
_cell_length_a 7.734
_cell_length_b 7.734
_cell_length_c 7.734
_cell_angle_alpha 90.00
_cell_angle_beta 90.00
_cell_angle_gamma 90.00
loop_
_atom_site_label
_atom_site_fract_x
_atom_site_fract_y
_atom_site_fract_z
Li1 0.000 0.000 0.000
Y1 0.000 0.000 0.500
Ho1 0.250 0.250 0.250
```